(1)
VASP calculation (GGA-PBE) on crystalline YLuCo4 at its relaxed geometry.

```
YLuCo4
1.0
-2.817 -1.893 3.728
-2.988 -3.967 -0.864
1.137 -4.492 1.987
Co Lu Y
4 1 1
Cartesian
-1.420 -4.484 3.468
-1.506 -5.525 1.163
-2.920 -6.475 3.034
-3.491 -4.220 2.037
0.000 0.000 0.000
-1.167 -2.588 1.213
```

Properties
As for the space-group type: F-43m (216). The formation energy is -237 meV per atom. The calculation puts the uncorrected energy at -40.83 eV for the cell shown.

=====

(2)
VASP calculation (GGA-PBE) on crystalline Na2DySnO4 at its relaxed geometry.

```
Na2DySnO4
1.0
3.434 0.000 0.000
0.000 5.884 0.095
0.000 -2.064 5.587
Dy O Sn Na
1 4 1 2
Cartesian
1.717 2.942 0.047
0.000 -0.061 4.423
0.000 3.881 1.259
1.717 2.887 4.475
1.717 0.933 1.207
0.000 0.000 0.000
1.717 -1.032 2.793
0.000 1.910 2.841
```

Properties
The uncorrected formation energy is -2.0747 eV per atom. As for the space-group type: P2/m (10). The calculation puts the uncorrected energy at -47.67 eV for the cell shown.

=====

(3)
VASP calculation (GGA-PBE) on crystalline ScZnAs2Se at its relaxed geometry.

```
ScZnAs2Se
1.0
-3.052 -2.368 3.400
4.086 -2.420 1.982
0.678 3.829 3.276
Se Zn As Sc
1 1 2 1
Cartesian
0.339 1.914 1.638
0.856 -0.480 4.329
-1.526 -1.184 1.700
2.043 -1.210 0.991
0.000 0.000 0.000
```

Properties
The calculation puts the energy above the most stable polymorph in this dataset at 0 meV/atom. The uncorrected formation energy is 0.1625 eV per atom. As for the space-group type: P4/mmm (123). The calculation puts the uncorrected energy at -19.58 eV for the cell shown.

=====

(4)
VASP calculation (GGA-PBE) on crystalline ZrNbHRu2 at its relaxed geometry.

```
ZrNbHRu2
1.0
4.231 0.000 0.000
0.000 4.231 0.000
0.000 0.000 3.884
Ru H Zr Nb
2 1 1 1
Cartesian
2.116 0.000 0.000
0.000 2.116 0.000
0.000 0.000 0.000
2.116 2.116 1.942
0.000 0.000 1.942
```

Properties
As for the space-group type: P4/mmm (123). The calculation puts the uncorrected energy at -41.30 eV for the cell shown.

=====

(5)
VASP calculation (GGA-PBE) on crystalline Cs2TbI5 at its relaxed geometry.

```
Cs2TbI5
1.0
-0.248 8.986 -1.629
-8.948 -0.566 -1.764
3.502 -3.286 6.956
Cs I Tb
2 5 1
Cartesian
-0.693 4.972 1.915
-5.042 0.196 1.847
-7.130 6.525 -2.408
-2.152 1.967 -0.572
-6.995 1.661 -1.527
-2.286 6.831 -1.453
-5.056 4.596 0.503
-5.628 5.078 3.249
```

Properties
The calculation puts the energy above the most stable polymorph in this dataset at 41 meV/atom. The uncorrected formation energy is -1.4596 eV per atom. As for the space-group type: I4mm (107). The calculation puts the uncorrected energy at -25.77 eV for the cell shown.

=====

(6)
VASP calculation (GGA-PBE) on crystalline Cd2InAg at its relaxed geometry.

```
Cd2InAg
1.0
-4.429 0.246 -3.117
-0.062 -4.275 -3.334
0.644 0.364 5.371
Cd In Ag
2 1 1
Cartesian
0.000 0.000 0.000
-0.832 -2.962 -0.594
-2.246 -2.014 -3.226
-3.015 -0.702 -0.486
```

Properties
As for the space-group type: I-4m2 (119). The formation energy is 22 meV per atom. The calculation puts the uncorrected energy at -7.33 eV for the cell shown.

=====

(7)
VASP calculation (GGA-PBE) on crystalline K2SiCl at its relaxed geometry.

```
K2SiCl
1.0
7.910 0.033 0.000
5.188 5.970 0.000
-6.549 -3.001 3.266
K Cl Si
2 1 1
Cartesian
0.000 0.000 0.000
2.594 2.985 1.633
3.955 0.016 1.633
6.549 3.001 0.000
```

Properties
The calculation puts the energy above the most stable polymorph in this dataset at 303 meV/atom. The uncorrected formation energy is -0.2404 eV per atom. As for the space-group type: I-4m2 (119). The calculation puts the uncorrected energy at -10.43 eV for the cell shown.

=====

(8)
VASP calculation (GGA-PBE) on crystalline Y8SiAs4S3 at its relaxed geometry.

```
Y8SiAs4S3
1.0
8.120 0.000 0.000
0.000 8.105 -0.015
-4.060 -4.057 5.743
Y As S Si
8 4 3 1
Cartesian
6.106 2.047 0.000
0.000 -0.013 2.862
0.000 4.044 2.834
-2.046 2.001 5.727
2.014 2.047 0.000
4.060 0.004 2.893
2.046 2.001 5.727
4.060 4.061 2.866
2.030 -2.028 2.872
-2.030 -2.028 2.872
4.060 0.000 0.000
0.000 0.000 0.000
4.060 4.052 -0.008
2.030 2.024 2.864
-2.030 2.024 2.864
0.000 4.052 -0.008
```

Properties
The uncorrected formation energy is -1.6636 eV per atom. As for the space-group type: R-3m (166). The calculation puts the uncorrected energy at -114.73 eV for the cell shown.

=====

(9)
VASP calculation (GGA-PBE) on crystalline Ti2BeSe at its relaxed geometry.

```
Ti2BeSe
1.0
0.012 -3.729 -2.284
-3.350 -2.789 0.349
-2.767 -0.524 -3.346
Se Be Ti
1 1 2
Cartesian
-3.052 -3.521 -2.640
0.000 0.000 0.000
-1.526 -1.760 -1.320
-4.579 -5.281 -3.960
```

Properties
The calculation puts the energy above the most stable polymorph in this dataset at 0 meV/atom. The uncorrected formation energy is -0.1104 eV per atom. As for the space-group type: Fm-3m (225). The calculation puts the uncorrected energy at -23.44 eV for the cell shown.

=====

(10)
VASP calculation (GGA-PBE) on crystalline PdS8O2 at its relaxed geometry.

```
PdS8O2
1.0
-3.453 2.971 -3.194
6.653 1.533 -11.149
-4.753 -6.195 8.726
S Pd O
8 1 2
Cartesian
-3.535 -3.227 0.663
1.981 1.536 -6.280
-3.350 -3.332 4.032
-1.891 0.565 -1.274
-2.348 1.566 -4.727
0.337 -2.255 -4.343
0.794 -3.256 -0.890
1.796 1.642 -9.649
0.000 0.000 0.000
1.036 0.400 -6.292
-2.590 -2.090 0.675
```

Properties
The uncorrected formation energy is -0.1400 eV per atom. As for the space-group type: P-1 (2). The calculation puts the uncorrected energy at -49.67 eV for the cell shown.

=====

(11)
VASP calculation (GGA-PBE) on crystalline CsK2Br at its relaxed geometry.

```
CsK2Br
1.0
-0.987 5.987 -8.298
-8.157 -5.494 -2.994
-8.307 4.054 -2.455
K Cs Br
4 2 2
Cartesian
-7.449 -0.755 -4.793
-3.562 3.152 -4.903
-12.982 4.313 -11.264
-10.909 2.384 -6.535
-6.933 5.144 -8.200
0.000 0.000 0.000
-10.518 -0.597 -5.548
-4.572 0.247 -5.646
```

Properties
The calculation puts the energy above the most stable polymorph in this dataset at 73 meV/atom. The uncorrected formation energy is -0.7253 eV per atom. As for the space-group type: I-42d (122). The calculation puts the uncorrected energy at -15.24 eV for the cell shown.

=====

(12)
VASP calculation (GGA-PBE) on crystalline Cr2CoRu at its relaxed geometry.

```
Cr2CoRu
1.0
3.584 0.000 0.000
0.000 2.594 0.004
0.000 2.589 5.158
Ru Co Cr
1 1 2
Cartesian
1.792 1.296 1.290
1.792 3.887 3.871
0.000 2.591 2.663
0.000 2.589 5.075
```

Properties
As for the space-group type: Pmmm (47). The formation energy is 107 meV per atom. The calculation puts the uncorrected energy at -35.20 eV for the cell shown.